Er5Ge2Se2 | GGA-PBE | relaxed

Structure (CIF):
```
data_Er5Ge2Se2
_chemical_formula_sum 'Er10 Ge4 Se4'
_space_group_name_H-M_alt 'P 1'
_space_group_IT_number 1
_space_group_name_Hall 'P 1'
_cell_length_a 7.6621
_cell_length_b 7.5751
_cell_length_c 8.1490
_cell_angle_alpha 117.70
_cell_angle_beta 90.00
_cell_angle_gamma 90.00
loop_
_atom_site_label
_atom_site_type_symbol
_atom_site_fract_x
_atom_site_fract_y
_atom_site_fract_z
_atom_site_occupancy
Er1 Er 0.3397 0.7028 0.7327 1
Er2 Er 0.1603 0.4702 0.2673 1
Er3 Er 0.6603 0.2972 0.2673 1
Er4 Er 0.5000 0.5000 0.0000 1
Er5 Er 0.6603 0.0298 0.7327 1
Er6 Er 0.8397 0.5298 0.7327 1
Er7 Er 0.1603 0.2028 0.7327 1
Er8 Er 0.8397 0.7972 0.2673 1
Er9 Er 0.3397 0.9702 0.2673 1
Er10 Er 0.0000 0.0000 0.0000 1
Ge1 Ge 0.3615 0.1395 0.0000 1
Ge2 Ge 0.8615 0.3605 0.0000 1
Ge3 Ge 0.1385 0.6395 0.0000 1
Ge4 Ge 0.6385 0.8605 0.0000 1
Se1 Se 0.0000 0.7999 0.5997 1
Se2 Se 0.5000 0.2999 0.5997 1
Se3 Se 0.0000 0.2001 0.4003 1
Se4 Se 0.5000 0.7001 0.4003 1
```

Summary:
energy relative to the elements, uncorrected: -1.16 eV per atom
density: 9036 kg/m³
space group: Cmce, No. 64